[1]
# Mg3Zn7Au2 | Alexandria | PBE | optimized geometry
# SG = P2/m
# ΔE_f = -83.9 meV/atom
data_Mg3Zn7Au2
_space_group_name_H-M_alt 'P 1'
_space_group_IT_number 1
_space_group_name_Hall 'P 1'
_cell_length_a 3.670
_cell_length_b 4.341
_cell_length_c 13.971
_cell_angle_alpha 90.00
_cell_angle_beta 96.12
_cell_angle_gamma 90.00
loop_
_atom_site_label
_atom_site_type_symbol
_atom_site_fract_x
_atom_site_fract_y
_atom_site_fract_z
Mg1 Mg 0.000 0.000 0.000
Mg2 Mg 0.295 0.000 0.590
Mg3 Mg 0.705 0.000 0.410
Zn1 Zn 0.121 0.000 0.246
Zn2 Zn 0.213 0.500 0.427
Zn3 Zn 0.375 0.500 0.726
Zn4 Zn 0.500 0.500 0.000
Zn5 Zn 0.625 0.500 0.274
Zn6 Zn 0.787 0.500 0.573
Zn7 Zn 0.879 0.000 0.754
Au1 Au 0.062 0.500 0.134
Au2 Au 0.938 0.500 0.866

[2]
# Tb6AgRu2 | Alexandria | PBE | optimized geometry
# SG = C2/m
# ΔE_f = -203.2 meV/atom
data_Tb6AgRu2
_space_group_name_H-M_alt 'P 1'
_space_group_IT_number 1
_space_group_name_Hall 'P 1'
_cell_length_a 5.601
_cell_length_b 5.601
_cell_length_c 9.023
_cell_angle_alpha 98.26
_cell_angle_beta 98.26
_cell_angle_gamma 54.46
loop_
_atom_site_label
_atom_site_type_symbol
_atom_site_fract_x
_atom_site_fract_y
_atom_site_fract_z
Tb1 Tb 0.042 0.042 0.336
Tb2 Tb 0.281 0.281 0.660
Tb3 Tb 0.347 0.347 0.107
Tb4 Tb 0.653 0.653 0.893
Tb5 Tb 0.719 0.719 0.340
Tb6 Tb 0.958 0.958 0.664
Ag1 Ag 0.000 0.000 0.000
Ru1 Ru 0.389 0.389 0.397
Ru2 Ru 0.611 0.611 0.603